(1)
Compound: Zn8PdAu2
Source: Alexandria via LeMat-Bulk
Functional: PBE
Structure: relaxed

calculated formation energy	-0.1381	eV/atom
space-group type	C2/m
relative energy among the computed polymorphs	51.1	meV per atom

```
Zn8PdAu2
1.0
-3.304 1.639 -2.593
-5.822 1.446 3.500
-0.850 6.517 2.785
Zn Au Pd
8 2 1
Cartesian
-6.423 6.676 4.968
-3.345 1.079 0.619
-4.692 2.634 2.625
-5.782 2.006 0.288
-6.630 4.640 2.628
-3.554 2.925 -1.276
-3.347 4.962 1.064
-5.284 6.968 1.067
-2.114 2.965 2.150
-4.558 4.998 4.134
-1.652 0.819 -1.296
```

(2)
Compound: Nd3NiBi
Source: Alexandria via LeMat-Bulk
Functional: PBE
Structure: relaxed

calculated formation energy	-0.3696	eV/atom
space-group type	C2/m
relative energy among the computed polymorphs	0.0	meV per atom

```
Nd3NiBi
1.0
-2.154 1.308 -3.330
-7.161 -1.708 3.962
1.948 7.808 4.426
Nd Ni Bi
6 2 2
Cartesian
-1.739 -0.112 1.081
-5.629 7.520 3.977
-3.995 1.710 3.256
-7.725 1.405 2.931
-3.372 5.698 1.802
0.358 6.004 2.127
-2.048 6.926 4.046
-5.319 0.482 1.012
-1.334 3.154 2.102
-6.033 4.254 2.956
```

(3)
Compound: YHgAs2P
Source: Alexandria via LeMat-Bulk
Functional: PBE
Structure: relaxed

calculated formation energy	0.4845	eV/atom
space-group type	P4/mmm

```
YHgAs2P
1.0
5.163 0.000 0.000
0.000 5.163 0.000
0.000 0.000 4.895
P As Hg Y
1 2 1 1
Cartesian
0.000 0.000 2.448
0.000 2.582 0.000
2.582 0.000 0.000
0.000 0.000 0.000
2.582 2.582 2.448
```

(4)
Compound: Nd2Ni2Ag
Source: Alexandria via LeMat-Bulk
Functional: PBE
Structure: relaxed

calculated formation energy	-0.3317	eV/atom
space-group type	Cmmm

```
Nd2Ni2Ag
1.0
3.806 0.000 0.000
0.000 3.993 0.000
0.000 -1.997 7.062
Ag Nd Ni
1 2 2
Cartesian
0.000 0.000 0.000
1.903 0.000 5.164
1.903 1.997 1.898
0.000 0.000 2.829
0.000 1.997 4.233
```

(5)
Compound: Er3Ru2
Source: Alexandria via LeMat-Bulk
Functional: PBE
Structure: relaxed

calculated formation energy	-0.3016	eV/atom
space-group type	C2/m
relative energy among the computed polymorphs	10.1	meV per atom

```
Er3Ru2
1.0
-2.962 3.338 1.731
-3.796 -4.335 -4.755
-2.567 -6.184 7.532
Er Ru
9 6
Cartesian
-3.217 -2.457 5.852
-5.858 -2.156 0.750
-4.347 -7.082 6.216
-2.608 -2.953 1.232
-4.978 -0.100 -1.708
-1.481 1.669 0.866
-6.108 -4.724 -1.344
-6.717 -4.228 3.276
-3.467 -5.025 3.758
-0.445 -1.025 1.215
-4.779 -4.870 1.213
-5.682 -6.927 3.634
-8.880 -6.156 3.293
-3.643 -0.254 0.874
-4.546 -2.311 3.295
```

(6)
Compound: Pm3HgRu2
Source: Alexandria via LeMat-Bulk
Functional: PBE
Structure: relaxed

calculated formation energy	-0.2964	eV/atom
space-group type	P4/mmm

```
Pm3HgRu2
1.0
-1.057 -3.126 -1.196
3.347 -0.983 -0.390
0.040 -4.093 10.668
Ru Hg Pm
2 1 3
Cartesian
1.179 -5.497 8.179
1.151 -2.706 0.904
1.165 -4.101 4.541
0.012 -1.246 3.248
0.000 0.000 0.000
0.028 -2.847 7.420
```

(7)
Compound: USbS3
Source: Alexandria via LeMat-Bulk
Functional: PBE
Structure: relaxed

space-group type	C2/m
uncorrected formation energy	-3.62	eV/f.u.

```
USbS3
1.0
-4.635 -2.471 -0.318
0.009 -1.116 8.545
-0.648 6.499 2.489
U S Sb
2 6 2
Cartesian
-0.744 1.220 1.355
-4.530 1.691 9.360
-4.336 1.660 6.759
-0.938 1.251 3.956
-4.811 2.988 3.363
-0.463 -0.077 7.353
-1.989 2.495 9.615
-3.285 0.416 1.101
-2.290 3.441 6.650
-2.984 -0.529 4.066
```

(8)
Compound: CeHo5Tm12
Source: Alexandria via LeMat-Bulk
Functional: PBE
Structure: relaxed

calculated formation energy	0.2121	eV/atom
space-group type	C2/m

```
CeHo5Tm12
1.0
11.132 0.000 1.850
5.566 5.097 0.925
3.780 0.000 10.635
Ho Tm Ce
5 12 1
Cartesian
7.456 3.397 6.242
13.022 1.700 7.167
5.566 1.718 0.925
7.456 0.000 6.242
11.132 3.379 1.850
7.892 3.405 2.871
4.213 0.000 7.269
13.458 1.692 3.796
15.341 3.395 9.113
5.137 1.701 4.296
12.586 1.692 10.538
7.020 3.405 9.613
7.903 0.000 2.873
10.703 3.395 5.221
10.699 0.000 5.215
12.575 5.097 10.536
9.775 1.701 8.188
0.000 0.000 0.000
```

(9)
Compound: RbSbTe3As
Source: Alexandria via LeMat-Bulk
Functional: PBE
Structure: relaxed

space-group type	P2_1/m
uncorrected formation energy	-1.70	eV/f.u.

```
RbSbTe3As
1.0
4.623 0.000 0.000
0.000 9.614 0.874
0.000 -1.689 10.531
Te Sb Rb As
6 2 2 2
Cartesian
3.467 7.940 1.996
1.156 6.271 5.032
3.467 1.654 6.372
3.467 3.741 1.964
1.156 -0.015 9.408
1.156 4.184 9.440
3.467 2.108 9.522
1.156 5.818 1.883
1.156 0.946 3.014
3.467 6.980 8.391
3.467 7.690 4.672
1.156 0.236 6.733
```

(10)
Compound: NaGaSF2
Source: Alexandria via LeMat-Bulk
Functional: PBE
Structure: relaxed

space-group type	P4/mmm
uncorrected formation energy	-4.14	eV/f.u.

```
NaGaSF2
1.0
3.936 0.000 0.000
0.000 6.719 0.000
0.000 0.000 3.936
Na F Ga S
1 2 1 1
Cartesian
0.000 0.000 0.000
1.968 0.000 0.000
0.000 0.000 1.968
0.000 3.360 0.000
1.968 3.360 1.968
```

(11)
Compound: CsK6Rb
Source: Alexandria via LeMat-Bulk
Functional: PBE
Structure: relaxed

calculated formation energy	0.0159	eV/atom
space-group type	P-1
relative energy among the computed polymorphs	7.3	meV per atom

```
CsK6Rb
1.0
-8.546 9.117 1.084
-8.124 2.242 -9.269
-8.539 0.704 -0.799
Cs K Rb
1 6 1
Cartesian
0.000 0.000 0.000
-8.533 5.396 -1.992
-10.501 1.738 -5.108
-12.290 4.705 -9.099
-16.676 6.667 -6.992
-14.708 10.325 -3.876
-12.919 7.358 0.114
-12.605 6.032 -4.492
```

(12)
Compound: Br2Cl3
Source: Alexandria via LeMat-Bulk
Functional: PBE
Structure: relaxed

space-group type	Cc
relative energy among the computed polymorphs	0.0	meV per atom
uncorrected formation energy	0.27	eV/f.u.

```
Br2Cl3
1.0
4.395 4.117 -2.950
-1.743 12.466 -4.842
0.155 -5.963 9.358
Br Cl
4 6
Cartesian
0.525 -2.236 4.782
1.188 5.771 -0.498
3.227 0.619 5.172
0.067 11.615 -3.827
1.071 7.169 1.252
-0.893 5.480 3.592
3.231 7.777 -2.286
1.451 11.625 -1.728
2.274 13.877 -5.015
1.656 -1.867 7.009
```

| no. | N(E_F) (states/eV/cell) | spin magnetization (μB/f.u.) |
| --- | --- | --- |
| 1 | 1.94 | 0.00 |
| 2 | 10.27 | 0.80 |
| 3 | 4.82 | 0.00 |
| 4 | 4.47 | 0.00 |
| 5 | 11.43 | 0.00 |
| 6 | 4.59 | 0.00 |
| 7 | 10.93 | 1.12 |
| 8 | 40.83 | 2.48 |
| 9 | 1.78 | 0.00 |
| 10 | 4.56 | 0.51 |
| 11 | 5.18 | 0.00 |
| 12 | 5.49 | 0.00 |